Entry w
VASP calculation (PBE) on a relaxed NbOs3N crystal.

## Properties
Calculated volume: 13.62 Å³ per atom
Theoretical density: 16.5 Mg/m³
Total moment: 0.00 Bohr magnetons per cell
SG: Pm-3m (221)

Cell: 4.083 4.083 4.083 Å, 90.00 90.00 90.00°
Fractional coordinates of all 5 atoms:
Nb1 0.000 0.000 0.000
Os1 0.000 0.500 0.500
Os2 0.500 0.000 0.500
Os3 0.500 0.500 0.000
N1 0.500 0.500 0.500

***

Entry x
VASP calculation (PBE) on a relaxed NbOs3N crystal.

## Properties
Calculated volume: 21.76 Å³ per atom
Theoretical density: 10.3 Mg/m³
Total moment: 4.03 Bohr magnetons per cell
SG: Pm-3m (221)

Cell: 4.774 4.774 4.774 Å, 90.00 90.00 90.00°
Fractional coordinates of all 5 atoms:
Nb1 0.000 0.000 0.000
Os1 0.000 0.000 0.500
Os2 0.000 0.500 0.000
Os3 0.500 0.000 0.000
N1 0.500 0.500 0.500

***

Computed stability ranking, most favorable first: entry w, entry x

***

Entry w
VASP calculation (PBE) on a relaxed Nb3OsN crystal.

## Properties
Calculated volume: 22.54 Å³ per atom
Theoretical density: 7.1 Mg/m³
Total moment: 0.00 Bohr magnetons per cell
SG: Pm-3m (221)

Cell: 4.831 4.831 4.831 Å, 90.00 90.00 90.00°
Fractional coordinates of all 5 atoms:
Nb1 0.000 0.000 0.500
Nb2 0.000 0.500 0.000
Nb3 0.500 0.000 0.000
Os1 0.000 0.000 0.000
N1 0.500 0.500 0.500

***

Entry x
VASP calculation (PBE) on a relaxed Nb3OsN crystal.

## Properties
Calculated volume: 15.15 Å³ per atom
Theoretical density: 10.6 Mg/m³
Total moment: 0.00 Bohr magnetons per cell
SG: Pm-3m (221)

Cell: 4.231 4.231 4.231 Å, 90.00 90.00 90.00°
Fractional coordinates of all 5 atoms:
Nb1 0.000 0.000 0.500
Nb2 0.000 0.500 0.000
Nb3 0.500 0.000 0.000
Os1 0.500 0.500 0.500
N1 0.000 0.000 0.000

***

Computed stability ranking, most favorable first: entry x, entry w

***

Entry w
VASP calculation (PBE) on a relaxed NbOsSN2 crystal.

## Properties
Calculated volume: 14.47 Å³ per atom
Theoretical density: 7.9 Mg/m³
Total moment: 2.02 Bohr magnetons per cell
SG: P4/mmm (123)

Cell: 3.803 3.803 5.004 Å, 90.00 90.00 90.00°
Fractional coordinates of all 5 atoms:
Nb1 0.000 0.000 0.000
Os1 0.500 0.500 0.500
S1 0.500 0.500 0.000
N1 0.000 0.500 0.500
N2 0.500 0.000 0.500

***

Entry x
VASP calculation (PBE) on a relaxed NbOsSN2 crystal.

## Properties
Calculated volume: 16.09 Å³ per atom
Theoretical density: 7.1 Mg/m³
Total moment: 3.71 Bohr magnetons per cell
SG: P4/mmm (123)

Cell: 3.936 3.936 5.195 Å, 90.00 90.00 90.00°
Fractional coordinates of all 5 atoms:
Nb1 0.000 0.000 0.000
Os1 0.500 0.500 0.500
S1 0.000 0.000 0.500
N1 0.000 0.500 0.000
N2 0.500 0.000 0.000

***

Computed stability ranking, most favorable first: entry w, entry x

***

Entry w
VASP calculation (PBE) on a relaxed NbOsSe2N crystal.

## Properties
Calculated volume: 20.18 Å³ per atom
Theoretical density: 7.5 Mg/m³
Total moment: 3.17 Bohr magnetons per cell
SG: P4/mmm (123)

Cell: 5.138 5.138 3.822 Å, 90.00 90.00 90.00°
Fractional coordinates of all 5 atoms:
Nb1 0.000 0.000 0.000
Os1 0.500 0.500 0.500
Se1 0.000 0.500 0.000
Se2 0.500 0.000 0.000
N1 0.000 0.000 0.500

***

Entry x
VASP calculation (PBE) on a relaxed NbOsSe2N crystal.

## Properties
Calculated volume: 18.80 Å³ per atom
Theoretical density: 8.0 Mg/m³
Total moment: 2.25 Bohr magnetons per cell
SG: P4/mmm (123)

Cell: 5.071 5.071 3.656 Å, 90.00 90.00 90.00°
Fractional coordinates of all 5 atoms:
Nb1 0.000 0.000 0.000
Os1 0.500 0.500 0.500
Se1 0.000 0.500 0.500
Se2 0.500 0.000 0.500
N1 0.500 0.500 0.000

***

Computed stability ranking, most favorable first: entry x, entry w

***

Entry w
VASP calculation (PBE) on a relaxed NbTeOsN2 crystal.

## Properties
Calculated volume: 18.90 Å³ per atom
Theoretical density: 7.7 Mg/m³
Total moment: 2.95 Bohr magnetons per cell
SG: P4/mmm (123)

Cell: 3.980 3.980 5.964 Å, 90.00 90.00 90.00°
Fractional coordinates of all 5 atoms:
Nb1 0.000 0.000 0.000
Te1 0.000 0.000 0.500
Os1 0.500 0.500 0.500
N1 0.000 0.500 0.000
N2 0.500 0.000 0.000

***

Entry x
VASP calculation (PBE) on a relaxed NbTeOsN2 crystal.

## Properties
Calculated volume: 17.42 Å³ per atom
Theoretical density: 8.4 Mg/m³
Total moment: 2.44 Bohr magnetons per cell
SG: P4/mmm (123)

Cell: 3.884 3.884 5.773 Å, 90.00 90.00 90.00°
Fractional coordinates of all 5 atoms:
Nb1 0.000 0.000 0.000
Te1 0.500 0.500 0.000
Os1 0.500 0.500 0.500
N1 0.000 0.500 0.500
N2 0.500 0.000 0.500

***

Computed stability ranking, most favorable first: entry x, entry w

***

Entry w
VASP calculation (PBE) on a relaxed NbTe2OsN crystal.

## Properties
Calculated volume: 22.74 Å³ per atom
Theoretical density: 8.1 Mg/m³
Total moment: 1.85 Bohr magnetons per cell
SG: P4/mmm (123)

Cell: 5.458 5.458 3.816 Å, 90.00 90.00 90.00°
Fractional coordinates of all 5 atoms:
Nb1 0.000 0.000 0.000
Te1 0.000 0.500 0.000
Te2 0.500 0.000 0.000
Os1 0.500 0.500 0.500
N1 0.000 0.000 0.500

***

Entry x
VASP calculation (PBE) on a relaxed NbTe2OsN crystal.

## Properties
Calculated volume: 21.48 Å³ per atom
Theoretical density: 8.5 Mg/m³
Total moment: 2.33 Bohr magnetons per cell
SG: P4/mmm (123)

Cell: 5.411 5.411 3.669 Å, 90.00 90.00 90.00°
Fractional coordinates of all 5 atoms:
Nb1 0.000 0.000 0.000
Te1 0.000 0.500 0.500
Te2 0.500 0.000 0.500
Os1 0.500 0.500 0.500
N1 0.500 0.500 0.000

***

Computed stability ranking, most favorable first: entry x, entry w

***

Entry w
VASP calculation (PBE) on a relaxed NbP3N crystal.

## Properties
Calculated volume: 13.09 Å³ per atom
Theoretical density: 5.1 Mg/m³
Total moment: 0.00 Bohr magnetons per cell
SG: Pm-3m (221)

Cell: 4.030 4.030 4.030 Å, 90.00 90.00 90.00°
Fractional coordinates of all 5 atoms:
Nb1 0.000 0.000 0.000
P1 0.000 0.500 0.500
P2 0.500 0.000 0.500
P3 0.500 0.500 0.000
N1 0.500 0.500 0.500

***

Entry x
VASP calculation (PBE) on a relaxed NbP3N crystal.

## Properties
Calculated volume: 22.45 Å³ per atom
Theoretical density: 3.0 Mg/m³
Total moment: 1.53 Bohr magnetons per cell
SG: Pm-3m (221)

Cell: 4.824 4.824 4.824 Å, 90.00 90.00 90.00°
Fractional coordinates of all 5 atoms:
Nb1 0.000 0.000 0.000
P1 0.000 0.000 0.500
P2 0.000 0.500 0.000
P3 0.500 0.000 0.000
N1 0.500 0.500 0.500

***

Computed stability ranking, most favorable first: entry w, entry x

***

Entry w
VASP calculation (PBE) on a relaxed Nb2PN crystal.

## Properties
Calculated volume: 15.56 Å³ per atom
Theoretical density: 6.2 Mg/m³
Total moment: 0.00 Bohr magnetons per cell
SG: R-3m (166)

Cell: 7.349 7.349 7.349 Å, 24.98 24.98 24.98°
Fractional coordinates of all 4 atoms:
Nb1 0.111 0.111 0.111
Nb2 0.889 0.889 0.889
P1 0.000 0.000 0.000
N1 0.500 0.500 0.500

***

Entry x
VASP calculation (PBE) on a relaxed Nb2PN crystal.

## Properties
Calculated volume: 17.20 Å³ per atom
Theoretical density: 5.6 Mg/m³
Total moment: 0.00 Bohr magnetons per cell
SG: I-42d (122)

Cell: 6.384 6.384 6.384 Å, 132.78 132.78 69.00°
Fractional coordinates of all 8 atoms:
Nb1 0.060 0.625 0.935
Nb2 0.375 0.310 0.435
Nb3 0.690 0.125 0.065
Nb4 0.875 0.940 0.565
P1 0.250 0.750 0.500
P2 0.500 0.500 0.000
N1 0.000 0.000 0.000
N2 0.750 0.250 0.500

***

Computed stability ranking, most favorable first: entry x, entry w

***

Entry w
VASP calculation (PBE) on a relaxed NbPSeN2 crystal.

## Properties
Calculated volume: 12.76 Å³ per atom
Theoretical density: 6.0 Mg/m³
Total moment: 0.00 Bohr magnetons per cell
SG: P4/mmm (123)

Cell: 3.642 3.642 4.810 Å, 90.00 90.00 90.00°
Fractional coordinates of all 5 atoms:
Nb1 0.000 0.000 0.000
P1 0.500 0.500 0.500
Se1 0.500 0.500 0.000
N1 0.000 0.500 0.500
N2 0.500 0.000 0.500

***

Entry x
VASP calculation (PBE) on a relaxed NbPSeN2 crystal.

## Properties
Calculated volume: 17.69 Å³ per atom
Theoretical density: 4.3 Mg/m³
Total moment: 0.16 Bohr magnetons per cell
SG: P4/mmm (123)

Cell: 3.973 3.973 5.603 Å, 90.00 90.00 90.00°
Fractional coordinates of all 5 atoms:
Nb1 0.000 0.000 0.000
P1 0.500 0.500 0.500
Se1 0.000 0.000 0.500
N1 0.000 0.500 0.000
N2 0.500 0.000 0.000

***

Computed stability ranking, most favorable first: entry x, entry w

***

Entry w
VASP calculation (PBE) on a relaxed NbPSe2N crystal.

## Properties
Calculated volume: 20.59 Å³ per atom
Theoretical density: 4.8 Mg/m³
Total moment: 0.23 Bohr magnetons per cell
SG: P4/mmm (123)

Cell: 5.166 5.166 3.858 Å, 90.00 90.00 90.00°
Fractional coordinates of all 5 atoms:
Nb1 0.000 0.000 0.000
P1 0.500 0.500 0.500
Se1 0.000 0.500 0.000
Se2 0.500 0.000 0.000
N1 0.000 0.000 0.500

***

Entry x
VASP calculation (PBE) on a relaxed NbPSe2N crystal.

## Properties
Calculated volume: 16.38 Å³ per atom
Theoretical density: 6.0 Mg/m³
Total moment: 1.78 Bohr magnetons per cell
SG: P4/mmm (123)

Cell: 4.998 4.998 3.278 Å, 90.00 90.00 90.00°
Fractional coordinates of all 5 atoms:
Nb1 0.000 0.000 0.000
P1 0.500 0.500 0.500
Se1 0.000 0.500 0.500
Se2 0.500 0.000 0.500
N1 0.500 0.500 0.000

***

Computed stability ranking, most favorable first: entry w, entry x

***

Entry w
VASP calculation (PBE) on a relaxed NbTePN2 crystal.

## Properties
Calculated volume: 19.34 Å³ per atom
Theoretical density: 4.8 Mg/m³
Total moment: 0.23 Bohr magnetons per cell
SG: P4/mmm (123)

Cell: 4.014 4.014 6.002 Å, 90.00 90.00 90.00°
Fractional coordinates of all 5 atoms:
Nb1 0.000 0.000 0.000
Te1 0.000 0.000 0.500
P1 0.500 0.500 0.500
N1 0.000 0.500 0.000
N2 0.500 0.000 0.000

***

Entry x
VASP calculation (PBE) on a relaxed NbTePN2 crystal.

## Properties
Calculated volume: 14.83 Å³ per atom
Theoretical density: 6.3 Mg/m³
Total moment: 0.00 Bohr magnetons per cell
SG: P4/mmm (123)

Cell: 3.819 3.819 5.083 Å, 90.00 90.00 90.00°
Fractional coordinates of all 5 atoms:
Nb1 0.000 0.000 0.000
Te1 0.500 0.500 0.000
P1 0.500 0.500 0.500
N1 0.000 0.500 0.500
N2 0.500 0.000 0.500

***

Computed stability ranking, most favorable first: entry w, entry x

***

Entry w
VASP calculation (PBE) on a relaxed NbTe2PN crystal.

## Properties
Calculated volume: 19.56 Å³ per atom
Theoretical density: 6.7 Mg/m³
Total moment: 1.81 Bohr magnetons per cell
SG: P4/mmm (123)

Cell: 5.439 5.439 3.305 Å, 90.00 90.00 90.00°
Fractional coordinates of all 5 atoms:
Nb1 0.000 0.000 0.000
Te1 0.000 0.500 0.500
Te2 0.500 0.000 0.500
P1 0.500 0.500 0.500
N1 0.500 0.500 0.000

***

Entry x
VASP calculation (PBE) on a relaxed NbTe2PN crystal.

## Properties
Calculated volume: 23.55 Å³ per atom
Theoretical density: 5.5 Mg/m³
Total moment: 0.00 Bohr magnetons per cell
SG: P4/mmm (123)

Cell: 5.502 5.502 3.889 Å, 90.00 90.00 90.00°
Fractional coordinates of all 5 atoms:
Nb1 0.000 0.000 0.000
Te1 0.000 0.500 0.000
Te2 0.500 0.000 0.000
P1 0.500 0.500 0.500
N1 0.000 0.000 0.500

***

Computed stability ranking, most favorable first: entry x, entry w